[1]
A plane-wave DFT calculation with GGA-PBE was carried out for a geometry-optimized Ce4OsSeBr2 structure.

a = 7.445 Å, b = 4.071 Å, c = 7.527 Å
α = 90.00°, β = 107.52°, γ = 90.00°
Element x y z (fractional)
Ce1 0.217 0.000 0.208
Ce2 0.245 0.500 0.777
Ce3 0.755 0.500 0.223
Ce4 0.783 0.000 0.792
Os1 0.000 0.500 0.000
Se1 0.500 0.000 0.000
Br1 0.000 0.000 0.500
Br2 0.500 0.500 0.500

Space-group type = P2/m, No. 10

[2]
A plane-wave DFT calculation with GGA-PBE was carried out for a geometry-optimized Ce8TcOs3Br4 structure.

a = 8.976 Å, b = 8.976 Å, c = 8.976 Å
α = 53.72°, β = 53.72°, γ = 53.72°
Element x y z (fractional)
Ce1 0.231 0.231 0.231
Ce2 0.233 0.731 0.731
Ce3 0.269 0.269 0.767
Ce4 0.269 0.767 0.269
Ce5 0.731 0.233 0.731
Ce6 0.731 0.731 0.233
Ce7 0.767 0.269 0.269
Ce8 0.769 0.769 0.769
Tc1 0.500 0.500 0.500
Os1 0.000 0.000 0.500
Os2 0.000 0.500 0.000
Os3 0.500 0.000 0.000
Br1 0.000 0.000 0.000
Br2 0.000 0.500 0.500
Br3 0.500 0.000 0.500
Br4 0.500 0.500 0.000

Space-group type = R-3m, No. 166

[3]
A plane-wave DFT calculation with GGA-PBE was carried out for a geometry-optimized Ce6TcOs2Br3 structure.

a = 7.017 Å, b = 7.017 Å, c = 8.006 Å
α = 98.40°, β = 98.40°, γ = 120.00°
Element x y z (fractional)
Ce1 0.065 0.397 0.195
Ce2 0.267 0.267 0.805
Ce3 0.397 0.065 0.195
Ce4 0.603 0.935 0.805
Ce5 0.733 0.733 0.195
Ce6 0.935 0.603 0.805
Tc1 0.000 0.000 0.000
Os1 0.333 0.667 0.000
Os2 0.667 0.333 0.000
Br1 0.166 0.834 0.500
Br2 0.500 0.500 0.500
Br3 0.834 0.166 0.500

Space-group type = C2/m, No. 12

[4]
A plane-wave DFT calculation with GGA-PBE was carried out for a geometry-optimized Ce8Tc3OsBr4 structure.

a = 8.989 Å, b = 8.989 Å, c = 8.989 Å
α = 53.23°, β = 53.23°, γ = 53.23°
Element x y z (fractional)
Ce1 0.230 0.733 0.733
Ce2 0.232 0.232 0.232
Ce3 0.267 0.267 0.770
Ce4 0.267 0.770 0.267
Ce5 0.733 0.230 0.733
Ce6 0.733 0.733 0.230
Ce7 0.768 0.768 0.768
Ce8 0.770 0.267 0.267
Tc1 0.000 0.000 0.500
Tc2 0.000 0.500 0.000
Tc3 0.500 0.000 0.000
Os1 0.500 0.500 0.500
Br1 0.000 0.000 0.000
Br2 0.000 0.500 0.500
Br3 0.500 0.000 0.500
Br4 0.500 0.500 0.000

Space-group type = R-3m, No. 166

[5]
A plane-wave DFT calculation with GGA-PBE was carried out for a geometry-optimized Ce3TeOsBr structure.

a = 7.752 Å, b = 4.434 Å, c = 9.804 Å
α = 90.00°, β = 106.23°, γ = 90.00°
Element x y z (fractional)
Ce1 0.014 0.250 0.356
Ce2 0.196 0.250 0.965
Ce3 0.426 0.750 0.575
Ce4 0.574 0.250 0.425
Ce5 0.804 0.750 0.035
Ce6 0.986 0.750 0.644
Te1 0.229 0.750 0.216
Te2 0.771 0.250 0.784
Os1 0.226 0.250 0.613
Os2 0.774 0.750 0.387
Br1 0.392 0.750 0.872
Br2 0.608 0.250 0.128

Space-group type = P2_1/m, No. 11

[6]
A plane-wave DFT calculation with GGA-PBE was carried out for a geometry-optimized CeThOsBr structure.

a = 4.111 Å, b = 4.111 Å, c = 23.801 Å
α = 90.00°, β = 90.00°, γ = 120.00°
Element x y z (fractional)
Ce1 0.000 0.000 0.000
Ce2 0.333 0.667 0.667
Ce3 0.667 0.333 0.333
Th1 0.000 0.000 0.792
Th2 0.333 0.667 0.458
Th3 0.667 0.333 0.125
Os1 0.000 0.000 0.395
Os2 0.333 0.667 0.062
Os3 0.667 0.333 0.729
Br1 0.000 0.000 0.568
Br2 0.333 0.667 0.235
Br3 0.667 0.333 0.902

Space-group type = R3m, No. 160

[7]
A plane-wave DFT calculation with GGA-PBE was carried out for a geometry-optimized Ce2P2Br structure.

a = 7.361 Å, b = 5.446 Å, c = 7.090 Å
α = 90.00°, β = 107.87°, γ = 90.00°
Element x y z (fractional)
Ce1 0.209 0.000 0.262
Ce2 0.291 0.500 0.738
Ce3 0.709 0.500 0.262
Ce4 0.791 0.000 0.738
P1 0.000 0.209 0.500
P2 0.000 0.791 0.500
P3 0.500 0.291 0.500
P4 0.500 0.709 0.500
Br1 0.000 0.500 0.000
Br2 0.500 0.000 0.000

Space-group type = C2/m, No. 12

[8]
A plane-wave DFT calculation with GGA-PBE was carried out for a geometry-optimized Ce2PBr2 structure.

a = 4.128 Å, b = 4.128 Å, c = 31.506 Å
α = 90.00°, β = 90.00°, γ = 120.00°
Element x y z (fractional)
Ce1 0.000 0.000 0.117
Ce2 0.000 0.000 0.883
Ce3 0.333 0.667 0.550
Ce4 0.333 0.667 0.783
Ce5 0.667 0.333 0.217
Ce6 0.667 0.333 0.450
P1 0.000 0.000 0.500
P2 0.333 0.667 0.167
P3 0.667 0.333 0.833
Br1 0.000 0.000 0.276
Br2 0.000 0.000 0.724
Br3 0.333 0.667 0.390
Br4 0.333 0.667 0.943
Br5 0.667 0.333 0.057
Br6 0.667 0.333 0.610

Space-group type = R-3m, No. 166

Number 1: final energy -50.55 eV for the cell shown. Number 2: final energy -109.64 eV for the cell shown. Number 3: final energy -81.84 eV for the cell shown. Number 4: final energy -106.65 eV for the cell shown. Number 5: final energy -76.61 eV for the cell shown. Number 6: final energy -87.79 eV for the cell shown. Number 7: final energy -59.45 eV for the cell shown. Number 8: final energy -86.96 eV for the cell shown.